Material: TlCr2FeO10
Method: DFT, PBE with a Hubbard U
State: optimized geometry

Lattice parameters (Å, degrees): 6.0503 6.0503 6.9345 108.63 108.63 56.31
With the nearest neighbours (Å) after each atom.
Sites, in units of the cell vectors:
Tl (0.0000, 0.0000, 0.0000)  6 O 2.33-2.34
Cr (0.3738, 0.3738, 0.1506)  4 O 1.59-1.74
Cr (0.6262, 0.6262, 0.8494)  4 O 1.59-1.74
Fe (0.0000, 0.0000, 0.5000)  2 O 1.67
O (0.1626, 0.1626, 0.5321)  1 Fe 1.67
O (0.2100, 0.7191, 0.2435)  1 Cr 1.74
O (0.2310, 0.2310, 0.1936)  1 Cr 1.66
O (0.2809, 0.7900, 0.7565)  1 Cr 1.74
O (0.3396, 0.3396, 0.9073)  1 Cr 1.59
O (0.6604, 0.6604, 0.0927)  1 Cr 1.59
O (0.7191, 0.2100, 0.2435)  1 Cr 1.74
O (0.7690, 0.7690, 0.8064)  1 Cr 1.66
O (0.7900, 0.2809, 0.7565)  1 Cr 1.74
O (0.8374, 0.8374, 0.4679)  1 Fe 1.67

Values from the calculation:
The value obtained for the calculated total energy is -5.87 eV per atom. The mass density comes out at 4422 kg/m³. Its symmetry is C2/m, No. 12.